P.
Here is crystalline MnAs2F8 at its relaxed geometry from the Alexandria database. Energies are from PBE+U.

Lattice parameters (Å, degrees): 7.050 6.365 6.365 50.59 93.82 93.82
Last column: magnetic moment on the atom in μB.
Fractional positions:
F 0.185 0.912 0.373  0.01
F 0.402 0.303 0.303  0.00
Mn 0.000 0.000 0.000  4.67
As 0.626 0.855 0.855  0.00
F 0.185 0.373 0.912  0.01
As 0.374 0.145 0.145  0.00
F 0.815 0.627 0.088  0.01
F 0.735 0.045 0.045  0.02
F 0.265 0.955 0.955  0.02
F 0.598 0.697 0.697  0.00
F 0.815 0.088 0.627  0.01

## Properties
Magnetization: 5.00 μB/cell
D(E_F): 0.000 states/eV/f.u.
Symmetry: C2/m, No. 12

---

Q.
Here is crystalline MnAs2F8 at its relaxed geometry from the Alexandria database. Energies are from PBE+U.

Lattice parameters (Å, degrees): 5.023 6.141 6.141 76.57 98.52 98.52
Last column: magnetic moment on the atom in μB.
Fractional positions:
As 0.511 0.716 0.716  0.01
F 0.231 0.394 0.394  0.00
F 0.769 0.606 0.606  0.00
F 0.714 0.998 0.669  0.01
F 0.727 0.125 0.125  0.02
F 0.286 0.002 0.331  0.01
As 0.489 0.284 0.284  0.01
Mn 0.000 0.000 0.000  4.68
F 0.714 0.669 0.998  0.01
F 0.273 0.875 0.875  0.02
F 0.286 0.331 0.002  0.01

## Properties
Magnetization: 5.00 μB/cell
D(E_F): 0.000 states/eV/f.u.
Symmetry: C2/m, No. 12

---

It is P that is the least stable of them.

---

P.
Here is crystalline Mn2AsF at its relaxed geometry from the Alexandria database. Energies are from PBE+U.

Lattice parameters (Å, degrees): 4.541 4.541 4.541 60.00 60.00 60.00
Last column: magnetic moment on the atom in μB.
Fractional positions:
As 0.500 0.500 0.500  0.01
Mn 0.250 0.250 0.250  4.63
Mn 0.750 0.750 0.750  4.63
F 0.000 0.000 0.000  0.11

## Properties
Magnetization: 10.00 μB/cell
D(E_F): 0.036 states/eV/f.u.
Symmetry: Fm-3m, No. 225

---

Q.
Here is crystalline Mn2AsF at its relaxed geometry from the Alexandria database. Energies are from PBE+U.

Lattice parameters (Å, degrees): 5.318 5.318 7.148 68.16 68.16 90.00
Last column: magnetic moment on the atom in μB.
Fractional positions:
Mn 0.875 0.834 0.750  4.62
Mn 0.166 0.625 0.250  4.63
F 0.250 0.750 0.500  0.07
As 0.750 0.250 0.500  -0.05
F 0.500 0.500 0.000  0.07
As 0.000 0.000 0.000  -0.05
Mn 0.584 0.125 0.250  4.63
Mn 0.375 0.416 0.750  4.62

## Properties
Magnetization: 20.00 μB/cell
D(E_F): 0.109 states/eV/f.u.
Symmetry: I-42d, No. 122

---

It is P that is the least stable of them.

---

P.
Here is crystalline MnAsN2F at its relaxed geometry from the Alexandria database. Energies are from PBE+U.

Lattice parameters (Å, degrees): 3.819 3.819 4.018 90.00 90.00 90.00
Last column: magnetic moment on the atom in μB.
Fractional positions:
N 0.500 0.000 0.000  0.04
As 0.000 0.000 0.000  0.00
F 0.000 0.000 0.500  0.02
N 0.000 0.500 0.000  0.04
Mn 0.500 0.500 0.500  4.67

## Properties
Magnetization: 5.01 μB/cell
D(E_F): 0.176 states/eV/f.u.
Symmetry: P4/mmm, No. 123

---

Q.
Here is crystalline MnAsN2F at its relaxed geometry from the Alexandria database. Energies are from PBE+U.

Lattice parameters (Å, degrees): 3.817 3.817 3.777 90.00 90.00 90.00
Last column: magnetic moment on the atom in μB.
Fractional positions:
Mn 0.000 0.000 0.000  -0.43
F 0.000 0.000 0.500  0.01
N 0.500 0.000 0.000  0.11
N 0.000 0.500 0.000  0.11
As 0.500 0.500 0.500  -0.11

## Properties
Magnetization: 0.36 μB/cell
D(E_F): 3.634 states/eV/f.u.
Symmetry: P4/mmm, No. 123

---

It is Q that is the least stable of them.

---

P.
Here is crystalline MoAsN2F at its relaxed geometry from the Alexandria database. Energies are from PBE+U.

Lattice parameters (Å, degrees): 3.928 3.928 3.915 90.00 90.00 90.00
Last column: magnetic moment on the atom in μB.
Fractional positions:
As 0.000 0.000 0.000  0.01
N 0.500 0.000 0.000  -0.24
Mo 0.500 0.500 0.500  3.55
F 0.000 0.000 0.500  0.05
N 0.000 0.500 0.000  -0.24

## Properties
Magnetization: 3.34 μB/cell
D(E_F): 2.442 states/eV/f.u.
Symmetry: P4/mmm, No. 123

---

Q.
Here is crystalline MoAsN2F at its relaxed geometry from the Alexandria database. Energies are from PBE+U.

Lattice parameters (Å, degrees): 4.082 4.082 4.088 90.00 90.00 90.00
Last column: magnetic moment on the atom in μB.
Fractional positions:
F 0.000 0.000 0.500  0.07
N 0.500 0.000 0.000  -0.38
N 0.000 0.500 0.000  -0.38
As 0.500 0.500 0.500  0.57
Mo 0.000 0.000 0.000  1.74

## Properties
Magnetization: 1.95 μB/cell
D(E_F): 1.718 states/eV/f.u.
Symmetry: P4/mmm, No. 123

---

It is P that is the least stable of them.

---

P.
Here is crystalline MoAsOF2 at its relaxed geometry from the Alexandria database. Energies are from PBE+U.

Lattice parameters (Å, degrees): 4.385 4.385 3.969 90.00 90.00 90.00
Last column: magnetic moment on the atom in μB.
Fractional positions:
F 0.000 0.500 0.000  0.04
F 0.500 0.000 0.000  0.04
As 0.000 0.000 0.000  0.01
O 0.000 0.000 0.500  0.02
Mo 0.500 0.500 0.500  4.28

## Properties
Magnetization: 4.99 μB/cell
D(E_F): 0.096 states/eV/f.u.
Symmetry: P4/mmm, No. 123

---

Q.
Here is crystalline MoAsOF2 at its relaxed geometry from the Alexandria database. Energies are from PBE+U.

Lattice parameters (Å, degrees): 4.197 4.197 4.292 90.00 90.00 90.00
Last column: magnetic moment on the atom in μB.
Fractional positions:
F 0.500 0.000 0.000  0.03
Mo 0.000 0.000 0.000  -2.72
As 0.500 0.500 0.500  0.81
F 0.000 0.500 0.000  0.03
O 0.000 0.000 0.500  -0.04

## Properties
Magnetization: 1.17 μB/cell
D(E_F): 1.809 states/eV/f.u.
Symmetry: P4/mmm, No. 123

---

It is P that is the least stable of them.